## Al5Zn2 (PBE)

Data for a relaxed structure of Al5Zn2.

Results
Calculated density in g/cm3: 3.80
Calculated volume in Å³/cell: 232.1
Formation energy from the elements in kcal/mol of atoms: 1.1
Uncorrected energy in eV per atom: -2.99
Crystal system: monoclinic
ΔE to the lowest computed polymorph in eV per atom: 0.000

Lattice parameters (Å, degrees): 4.787 6.228 8.436 88.18 90.00 112.60
Fractional coordinates of all 14 atoms:
Zn (0.298, 0.859, 0.392)
Zn (0.439, 0.141, 0.108)
Zn (0.561, 0.859, 0.892)
Zn (0.702, 0.141, 0.608)
Al (0.998, 0.720, 0.032)
Al (0.143, 0.570, 0.679)
Al (0.278, 0.280, 0.468)
Al (0.871, 0.000, 0.250)
Al (0.722, 0.720, 0.532)
Al (0.857, 0.430, 0.321)
Al (0.573, 0.430, 0.821)
Al (0.002, 0.280, 0.968)
Al (0.427, 0.570, 0.179)
Al (0.129, 0.000, 0.750)

=====

## Ta2IrF (PBE)

Data for a relaxed structure of Ta2IrF.

Results
Uncorrected formation energy in eV per atom: -0.52
Calculated density in g/cm3: 15.19
Calculated volume in Å³/cell: 125.3
Uncorrected energy in eV per atom: -9.12
Crystal system: tetragonal
ΔE to the lowest computed polymorph in eV per atom: 0.032

Lattice parameters (Å, degrees): 6.391 6.391 5.462 54.19 54.19 90.00
Fractional coordinates of all 8 atoms:
F (0.250, 0.750, 0.500)
F (0.500, 0.500, 0.000)
Ir (0.750, 0.250, 0.500)
Ir (0.000, 0.000, 0.000)
Ta (0.581, 0.125, 0.250)
Ta (0.375, 0.419, 0.750)
Ta (0.169, 0.625, 0.250)
Ta (0.875, 0.831, 0.750)

=====

## Ce2TlCu3 (PBE)

Data for a relaxed structure of Ce2TlCu3.

Results
Calculated density in g/cm3: 8.38
Calculated volume in Å³/cell: 133.8
Formation energy from the elements in kcal/mol of atoms: -1.6
Uncorrected energy in eV per atom: -4.49
Crystal system: orthorhombic

Lattice parameters (Å, degrees): 3.882 4.123 8.825 103.51 102.71 90.00
Each line ends with the local moment (μB).
Fractional coordinates of all 6 atoms:
Tl (0.460, 0.960, 0.920)  0.01
Cu (0.290, 0.790, 0.581)  0.00
Cu (0.704, 0.704, 0.408)  0.00
Cu (0.559, 0.559, 0.118)  0.00
Ce (0.135, 0.135, 0.271)  0.77
Ce (0.852, 0.352, 0.703)  0.82

=====

## Rb2BaTiBr (PBE)

Data for a relaxed structure of Rb2BaTiBr.

Results
Uncorrected formation energy in eV per atom: 0.68
Calculated density in g/cm3: 2.42
Calculated volume in Å³/cell: 298.6
Uncorrected energy in eV per atom: -2.00
Crystal system: tetragonal
ΔE to the lowest computed polymorph in eV per atom: 0.407

Lattice parameters (Å, degrees): 7.547 5.243 7.547 90.00 90.00 90.00
Each line ends with the local moment (μB).
Fractional coordinates of all 5 atoms:
Rb (0.500, 0.000, 0.000)  0.01
Rb (0.000, 0.000, 0.500)  0.01
Ti (0.000, 0.500, 0.000)  0.73
Br (0.500, 0.500, 0.500)  0.01
Ba (0.000, 0.000, 0.000)  0.15

=====

## Ti8SiAs2 (PBE)

Data for a relaxed structure of Ti8SiAs2.

Results
Uncorrected formation energy in eV per atom: -0.44
Calculated density in g/cm3: 5.09
Calculated volume in Å³/cell: 183.1
Uncorrected energy in eV per atom: -7.52
Crystal system: monoclinic

Lattice parameters (Å, degrees): 4.786 6.781 6.781 117.42 100.43 100.43
Fractional coordinates of all 11 atoms:
Ti (0.688, 0.397, 0.397)
Ti (0.877, 0.914, 0.691)
Ti (0.877, 0.691, 0.914)
Ti (0.123, 0.309, 0.086)
Ti (0.500, 0.774, 0.226)
Ti (0.123, 0.086, 0.309)
Ti (0.312, 0.603, 0.603)
Ti (0.500, 0.226, 0.774)
As (0.000, 0.306, 0.694)
As (0.000, 0.694, 0.306)
Si (0.500, 0.000, 0.000)

=====

## Ba12Al3Cl5 (PBE)

Data for a relaxed structure of Ba12Al3Cl5.

Results
Uncorrected formation energy in eV per atom: -0.87
Calculated density in g/cm3: 3.40
Calculated volume in Å³/cell: 3724.8
Uncorrected energy in eV per atom: -3.04
Crystal system: cubic

Lattice parameters (Å, degrees): 16.914 16.914 16.914 109.47 109.47 109.47
Fractional coordinates of all 80 atoms:
Ba (0.778, 0.323, 0.909)
Ba (0.132, 0.722, 0.545)
Ba (0.823, 0.909, 0.278)
Ba (0.455, 0.677, 0.087)
Ba (0.955, 0.587, 0.177)
Ba (0.413, 0.368, 0.591)
Ba (0.545, 0.222, 0.132)
Ba (0.045, 0.632, 0.722)
Ba (0.587, 0.955, 0.677)
Ba (0.091, 0.913, 0.368)
Ba (0.409, 0.132, 0.587)
Ba (0.868, 0.591, 0.913)
Ba (0.323, 0.545, 0.413)
Ba (0.222, 0.677, 0.091)
Ba (0.823, 0.913, 0.045)
Ba (0.132, 0.409, 0.087)
Ba (0.913, 0.091, 0.868)
Ba (0.413, 0.045, 0.323)
Ba (0.591, 0.722, 0.677)
Ba (0.868, 0.278, 0.455)
Ba (0.778, 0.455, 0.368)
Ba (0.177, 0.091, 0.722)
Ba (0.955, 0.368, 0.278)
Ba (0.545, 0.323, 0.913)
Ba (0.087, 0.177, 0.455)
Ba (0.091, 0.177, 0.222)
Ba (0.913, 0.823, 0.545)
Ba (0.587, 0.632, 0.409)
Ba (0.323, 0.778, 0.409)
Ba (0.278, 0.868, 0.955)
Ba (0.677, 0.222, 0.591)
Ba (0.722, 0.132, 0.045)
Ba (0.087, 0.909, 0.132)
Ba (0.909, 0.087, 0.632)
Ba (0.909, 0.823, 0.778)
Ba (0.222, 0.545, 0.632)
Ba (0.278, 0.409, 0.823)
Ba (0.368, 0.955, 0.778)
Ba (0.177, 0.087, 0.955)
Ba (0.368, 0.413, 0.091)
Ba (0.677, 0.455, 0.587)
Ba (0.722, 0.591, 0.177)
Ba (0.045, 0.413, 0.823)
Ba (0.632, 0.587, 0.909)
Ba (0.455, 0.778, 0.868)
Ba (0.632, 0.045, 0.222)
Ba (0.591, 0.868, 0.413)
Ba (0.409, 0.278, 0.323)
Al (0.750, 0.375, 0.125)
Al (0.875, 0.750, 0.125)
Al (0.125, 0.875, 0.750)
Al (0.250, 0.625, 0.875)
Al (0.875, 0.125, 0.250)
Al (0.625, 0.375, 0.750)
Al (0.375, 0.625, 0.250)
Al (0.250, 0.125, 0.375)
Al (0.750, 0.875, 0.625)
Al (0.125, 0.250, 0.875)
Al (0.375, 0.750, 0.625)
Al (0.625, 0.250, 0.375)
Cl (0.500, 0.500, 0.500)
Cl (0.375, 0.250, 0.125)
Cl (0.000, 0.500, 0.000)
Cl (0.125, 0.750, 0.375)
Cl (0.625, 0.875, 0.250)
Cl (0.500, 0.500, 0.000)
Cl (0.000, 0.000, 0.500)
Cl (0.125, 0.375, 0.250)
Cl (0.875, 0.625, 0.750)
Cl (0.500, 0.000, 0.500)
Cl (0.250, 0.875, 0.125)
Cl (0.625, 0.750, 0.875)
Cl (0.375, 0.125, 0.750)
Cl (0.875, 0.250, 0.625)
Cl (0.750, 0.125, 0.875)
Cl (0.750, 0.625, 0.375)
Cl (0.000, 0.000, 0.000)
Cl (0.500, 0.000, 0.000)
Cl (0.250, 0.375, 0.625)
Cl (0.000, 0.500, 0.500)